[1]
! Cd3In7Ga (PBE, relaxed); values from VASP
! Energy, eV/atom: -2.213
! Space-group type: No. 2
! Crystal system: triclinic
! M_tot, Bohr magnetons per cell: 0.0
&SYSTEM
  ibrav = 0, nat = 11, ntyp = 3
/
ATOMIC_SPECIES
Cd 112.41 Cd.upf
In 114.82 In.upf
Ga 69.72 Ga.upf
ATOMIC_POSITIONS angstrom
Cd -3.567 0.221 3.216
Cd -2.420 0.391 -1.813
Cd 0.375 5.195 4.087
In -1.460 1.022 1.100
In 0.201 1.940 8.725
In -2.753 5.552 3.422
In -0.439 -0.136 3.881
In 0.824 2.317 5.465
In -3.392 3.476 -1.422
In -1.732 4.394 6.203
Ga -1.596 2.708 3.651
CELL_PARAMETERS angstrom
-4.840 0.783 -3.627
1.110 -2.642 7.993
0.539 7.275 2.937


[2]
! CdIn6Ga3 (PBE, relaxed); values from VASP
! Energy, eV/atom: -2.585
! Space-group type: No. 36
! Crystal system: orthorhombic
! M_tot, Bohr magnetons per cell: 0.0
&SYSTEM
  ibrav = 0, nat = 20, ntyp = 3
/
ATOMIC_SPECIES
Cd 112.41 Cd.upf
In 114.82 In.upf
Ga 69.72 Ga.upf
ATOMIC_POSITIONS angstrom
Cd 1.256 6.790 0.701
Cd 4.079 1.763 3.655
In 0.013 5.312 5.138
In 2.837 7.839 -3.000
In 1.776 -0.638 4.206
In 4.600 4.865 2.237
In 2.246 0.499 1.035
In 4.076 6.215 -0.491
In 1.252 2.338 4.847
In 5.070 8.054 3.321
In 1.776 3.688 2.119
In 4.600 9.191 0.151
In 0.013 0.715 7.356
In 2.837 3.242 -0.782
Ga 2.313 6.535 3.458
Ga 5.137 9.916 -2.911
Ga 1.077 5.542 -1.887
Ga 3.901 3.011 6.243
Ga 5.137 2.018 0.899
Ga 2.313 -1.363 7.267
CELL_PARAMETERS angstrom
5.647 0.000 0.000
0.000 10.469 -5.049
0.000 -1.916 9.406


[3]
! Cd3In3Ga2 (PBE, relaxed); values from VASP
! Energy, eV/atom: -2.081
! Space-group type: No. 2
! Crystal system: triclinic
! M_tot, Bohr magnetons per cell: 0.0
! Offset from the most stable computed form, kJ per mole of atoms: 0.8
&SYSTEM
  ibrav = 0, nat = 8, ntyp = 3
/
ATOMIC_SPECIES
Cd 112.41 Cd.upf
In 114.82 In.upf
Ga 69.72 Ga.upf
ATOMIC_POSITIONS angstrom
Cd -3.690 -2.162 -3.499
Cd 0.543 2.015 -3.881
Cd -1.739 1.923 -1.560
In -4.592 0.753 -2.069
In -0.837 -0.993 -2.990
In 0.000 0.000 0.000
Ga -2.391 1.022 -4.474
Ga -3.038 -1.262 -0.585
CELL_PARAMETERS angstrom
-0.515 4.884 -2.509
1.602 -0.854 -5.254
-6.516 -4.270 2.704